First-principles (PBE) data for a geometry-optimized KScO3 structure, as listed in Alexandria.

```
5
Lattice="4.1505 0.0000 0.0000 0.0000 4.1505 0.0000 0.0000 0.0000 4.1505" Properties=species:S:1:pos:R:3 pbc="T T T"
K 0.0000 0.0000 0.0000
Sc 2.0752 2.0752 2.0752
O 0.0000 2.0752 2.0752
O 2.0752 0.0000 2.0752
O 2.0752 2.0752 0.0000
```

ΔE_f (raw): -1.91 eV per atom
Space group: No. 221